4
Lattice="1.520 0.877 8.206 -1.520 0.877 8.206 0.000 -1.755 8.206" Properties=species:S:1:pos:R:3 comment="GGA-PBE CdAsF2, relaxed" final_energy_ev_per_atom=-3.533 formation_energy_uncorrected_mev_per_atom=-1206 polymorph_energy_ev_per_atom=0.000 crystal_system=trigonal volume_a3_per_cell=65.66 pbc="T T T"
Cd 0.000 0.000 0.000
As 0.000 0.000 12.309
F 0.000 0.000 10.344
F 0.000 0.000 14.274